Compound: Tb2NdCd3Cu2Ag
Source: OQMD via LeMat-Bulk
Functional: PBE-GGA
Structure: optimized geometry

```
Tb2NdCd3Cu2Ag
1.0
3.902 0.000 0.000
0.000 6.688 3.869
0.000 -6.688 3.869
Tb Nd Cd Cu Ag
2 1 3 2 1
direct
0.000 0.205 0.795
0.000 0.795 0.205
0.000 0.616 0.616
0.500 0.202 0.471
0.500 0.471 0.202
0.500 0.942 0.942
0.500 0.538 0.877
0.500 0.877 0.538
0.000 0.204 0.204
```

Calculated values
Size of the total moment in μB/f.u.: 0.00
Total energy in hartree per atom: -0.12108
Formation energy from the elements in eV per formula unit: -2.69
Space-group type: Amm2 (38)